Entry 1:
DFT (PBE-GGA) results for a relaxed structure of Li6MgAg5.

a b c (Å): 4.358 8.389 7.635
angles (deg): 56.67 73.22 58.31
Fractional coordinates of all 12 atoms:
Li  0.736  0.092  0.345
Li  0.264  0.563  0.345
Li  0.225  0.275  0.000
Li  0.775  0.725  0.000
Li  0.736  0.437  0.655
Li  0.264  0.908  0.655
Mg  0.000  0.000  0.000
Ag  0.500  0.156  0.688
Ag  0.000  0.326  0.348
Ag  0.500  0.500  0.000
Ag  0.000  0.674  0.652
Ag  0.500  0.844  0.312

Results
- DFT formation energy (eV per formula unit) = -2.311
- E_tot (eV for the cell shown) = -29.64

Entry 2:
DFT (PBE-GGA) results for a relaxed structure of Li5Mg2Ag4.

a b c (Å): 2.921 9.389 11.657
angles (deg): 141.15 90.00 90.00
Fractional coordinates of all 11 atoms:
Li  0.000  0.568  0.267
Li  0.000  0.212  0.199
Li  0.000  0.500  0.000
Li  0.000  0.788  0.801
Li  0.000  0.432  0.733
Mg  0.000  0.030  0.655
Mg  0.000  0.970  0.345
Ag  0.500  0.668  0.523
Ag  0.500  0.179  0.952
Ag  0.500  0.332  0.477
Ag  0.500  0.821  0.048

Results
- DFT formation energy (eV per formula unit) = -1.357
- E_tot (eV for the cell shown) = -25.52
- energy above the lowest structure with this stoichiometry (eV/atom) = 0.0027

Entry 3:
DFT (PBE-GGA) results for a relaxed structure of Li2MgAg9.

a b c (Å): 4.110 4.110 12.356
angles (deg): 90.00 90.00 90.00
Fractional coordinates of all 12 atoms:
Li  0.000  0.000  0.337
Li  0.000  0.000  0.663
Mg  0.000  0.000  0.000
Ag  0.500  0.500  0.000
Ag  0.500  0.500  0.336
Ag  0.500  0.500  0.664
Ag  0.500  0.000  0.172
Ag  0.500  0.000  0.500
Ag  0.500  0.000  0.828
Ag  0.000  0.500  0.172
Ag  0.000  0.500  0.500
Ag  0.000  0.500  0.828

Results
- DFT formation energy (eV per formula unit) = -1.664
- E_tot (eV for the cell shown) = -32.75

Respective D(E_F) values: 3.6; 3.9; 1.8 states/eV per cell.